BaAl2BRh: optimized geometry, GGA-PBE.

Cell lengths 4.8227, 4.8227, 4.2971 Å; angles 90.00, 90.00, 90.00 degrees
Closest atoms and distances in Å follow each position.
Atoms (fractional coordinates):
1 Ba 0.0000 0.0000 0.0000  8 Al 3.23, 4 B 3.41
2 Al 0.0000 0.5000 0.5000  2 Rh 2.41
3 Al 0.5000 0.0000 0.5000  2 Rh 2.41
4 B 0.5000 0.5000 0.0000  2 Rh 2.15
5 Rh 0.5000 0.5000 0.5000  2 B 2.15

Properties
The calculation puts the energy of formation at -0.05 eV per atom. For the electronic total energy, the calculation gives -23.67 eV per cell.

---

Ba2AlBW: optimized geometry, GGA-PBE.

Cell lengths 6.1387, 6.1387, 4.1990 Å; angles 90.00, 90.00, 90.00 degrees
Closest atoms and distances in Å follow each position.
Atoms (fractional coordinates):
1 Ba 0.0000 0.5000 0.0000  2 W 3.07
2 Ba 0.5000 0.0000 0.0000  2 W 3.07
3 Al 0.0000 0.0000 0.5000  8 Ba 3.72
4 B 0.5000 0.5000 0.5000  2 W 2.10
5 W 0.5000 0.5000 0.0000  2 B 2.10

Properties
The calculation puts the energy of formation at 1.07 eV per atom. For the electronic total energy, the calculation gives -21.85 eV per cell.

---

BaZrAlB2: optimized geometry, GGA-PBE.

Cell lengths 4.7208, 4.7208, 5.6715 Å; angles 90.00, 90.00, 90.00 degrees
Closest atoms and distances in Å follow each position.
Atoms (fractional coordinates):
1 Ba 0.0000 0.0000 0.0000  4 B 2.36
2 Zr 0.0000 0.0000 0.5000  2 Ba 2.84
3 Al 0.5000 0.5000 0.5000  4 Zr 3.34, 8 B 3.69
4 B 0.0000 0.5000 0.0000  2 Ba 2.36
5 B 0.5000 0.0000 0.0000  2 Ba 2.36

Properties
The calculation puts the energy of formation at 2.52 eV per atom. For the electronic total energy, the calculation gives -14.96 eV per cell.

---

BeAl2B: optimized geometry, GGA-PBE.

Cell lengths 3.5561, 3.5561, 18.5596 Å; angles 90.15, 90.15, 60.02 degrees
Closest atoms and distances in Å follow each position.
Atoms (fractional coordinates):
1 Be 0.0000 0.0000 0.0000  1 Be 1.94
2 Be 0.9995 0.9995 0.1048  1 Be 1.94
3 Be 0.3330 0.3330 0.0490  8 Be 2.06-2.30
4 Be 0.6665 0.6665 0.0429  6 Be 2.06-2.21
5 Al 0.9996 0.9996 0.5159  3 B 2.32-2.33
6 Al 0.0024 0.0024 0.8147  3 B 2.12
7 Al 0.3311 0.3311 0.3263  3 B 2.14-2.15
8 Al 0.3354 0.3354 0.7205  4 B 2.21-2.28
9 Al 0.6657 0.6657 0.4190  4 B 2.17-2.34
10 Al 0.6682 0.6682 0.6241  3 B 2.27
11 Al 0.6687 0.6687 0.9112  3 B 2.40-2.41, 4 Be 2.45-2.64
12 Al 0.9972 0.9972 0.2299  1 Be 2.32, 3 B 2.36
13 B 0.0021 0.0021 0.6761  6 Al 2.21-2.27
14 B 0.3328 0.3328 0.4572  7 Al 2.17-2.43
15 B 0.3359 0.3359 0.8432  4 Al 2.12-2.28
16 B 0.6643 0.6643 0.2929  7 Al 2.14-2.36

Properties
As for the energy above the most stable polymorph in this dataset: 53.5 meV per atom. The calculation puts the energy of formation at 0.15 eV per atom. For the electronic total energy, the calculation gives -69.12 eV per cell.